No. 1
A relaxed structure of NaAcInRh, computed with GGA-PBE.

size of the total moment	0.0	μB per formula unit
E_form	-0.22	eV/atom
space group	No. 216
total energy	-16.382	eV per cell

Cell: 5.148 5.148 5.148 Å, 60.00 60.00 60.00°
Fractional coordinates of all 4 atoms:
Ac  0.750  0.750  0.750
Na  0.000  0.000  0.000
In  0.250  0.250  0.250
Rh  0.500  0.500  0.500



No. 2
A relaxed structure of Zn2Cd4Ag5, computed with GGA-PBE.

size of the total moment	0.0	μB per formula unit
E_form	0.00	eV/atom
space group	No. 10
total energy	-20.446	eV per cell

Cell: 2.963 7.322 9.523 Å, 93.18 90.00 90.00°
Fractional coordinates of all 11 atoms:
Ag  0.000  0.428  0.701
Ag  0.000  0.191  0.169
Ag  0.000  0.809  0.831
Ag  0.000  0.500  0.000
Ag  0.000  0.572  0.299
Cd  0.500  0.715  0.561
Cd  0.500  0.168  0.893
Cd  0.500  0.832  0.107
Cd  0.500  0.285  0.439
Zn  0.000  0.062  0.635
Zn  0.000  0.938  0.365



No. 3
A relaxed structure of Ho3Sb2As, computed with GGA-PBE.

size of the total moment	0.0	μB per formula unit
energy relative to the elements, uncorrected	-708	kJ/mol of formula units
space group	No. 139
total energy	-33.963	eV per cell

Cell: 4.286 4.286 9.567 Å, 102.95 102.94 90.00°
Fractional coordinates of all 6 atoms:
Sb  0.103  0.104  0.211
Sb  0.766  0.767  0.537
Ho  0.934  0.936  0.874
Ho  0.275  0.277  0.556
Ho  0.593  0.594  0.192
As  0.434  0.436  0.874



No. 4
A relaxed structure of TaCu2As, computed with GGA-PBE.

size of the total moment	0.0	μB per formula unit
E_form	0.13	eV/atom
space group	No. 47
total energy	-24.178	eV per cell

Cell: 3.079 3.748 5.232 Å, 90.00 90.00 90.00°
Fractional coordinates of all 4 atoms:
Ta  0.500  0.500  0.250
Cu  0.000  0.000  0.495
Cu  0.000  0.000  0.005
As  0.500  0.500  0.750



No. 5
A relaxed structure of AcEuGaAu, computed with GGA-PBE.

size of the total moment	6.9	μB per formula unit
E_form	-0.62	eV/atom
space group	No. 216
total energy	-23.152	eV per cell

Cell: 5.440 5.440 5.440 Å, 60.00 60.00 60.00°
Last column: magnetic moment on the atom in μB.
Fractional coordinates of all 4 atoms:
Eu  0.500  0.500  0.500  6.81
Ga  0.250  0.250  0.250  -0.03
Au  0.750  0.750  0.750  -0.01
Ac  0.000  0.000  0.000  -0.01



No. 6
A relaxed structure of MgZn3Ga2, computed with GGA-PBE.

size of the total moment	0.0	μB per formula unit
E_form	-0.04	eV/atom
space group	No. 71
total energy	-23.401	eV per cell

Cell: 4.070 7.821 7.824 Å, 63.38 74.93 74.92°
Fractional coordinates of all 12 atoms:
Zn  0.000  0.344  0.655
Zn  0.684  0.093  0.540
Zn  0.316  0.460  0.907
Zn  0.684  0.540  0.093
Zn  0.316  0.907  0.460
Zn  0.000  0.656  0.345
Ga  0.500  0.154  0.846
Ga  0.500  0.846  0.154
Ga  0.187  0.313  0.312
Ga  0.813  0.687  0.688
Mg  0.136  0.864  0.864
Mg  0.864  0.136  0.136



No. 7
A relaxed structure of La2TmTl3, computed with GGA-PBE.

size of the total moment	0.0	μB per formula unit
E_form	-0.39	eV/atom
space group	No. 123
total energy	-23.764	eV per cell

Cell: 3.835 3.835 12.126 Å, 90.00 90.00 90.00°
Fractional coordinates of all 6 atoms:
Tm  0.500  0.500  0.500
Tl  0.000  0.000  0.648
Tl  0.000  0.000  0.000
Tl  0.000  0.000  0.352
La  0.500  0.500  0.175
La  0.500  0.500  0.825



No. 8
A relaxed structure of Er4InAg3, computed with GGA-PBE.

size of the total moment	0.0	μB per formula unit
E_form	-0.32	eV/atom
space group	No. 25
total energy	-32.069	eV per cell

Cell: 3.655 4.810 11.296 Å, 90.00 90.00 90.00°
Fractional coordinates of all 8 atoms:
Ag  0.000  0.000  0.424
Ag  0.000  0.500  0.578
Ag  0.500  0.000  0.918
In  0.500  0.500  0.079
Er  0.500  0.500  0.361
Er  0.500  0.000  0.642
Er  0.000  0.500  0.841
Er  0.000  0.000  0.157



Q: Which value of size of the total moment does entry 5 give?
A: 6.9 μB per formula unit



Q: Look up the total energy of the sixth one.
A: -23.401 eV per cell



Q: Look up the size of the total moment of the sixth one.
A: 0.0 μB per formula unit



Q: total energy of number 7 (La2TmTl3)?
A: -23.764 eV per cell